No. 1
The following is a DFT calculation (PBE) of a relaxed structure of NaGe2OsPt.

Magnetization in μB per formula unit: 0.0
Fermi-level density of states in states/eV/f.u.: 8.3
Calculated formation energy in eV per formula unit: 3.8
V in Å³ per atom: 23.00

Cell and atoms, written as CIF:
```
data_NaGe2OsPt
_cell_length_a 4.681
_cell_length_b 4.681
_cell_length_c 5.249
_cell_angle_alpha 90.00
_cell_angle_beta 90.00
_cell_angle_gamma 90.00
_space_group_name_H-M_alt 'P 4/m m m'
_space_group_IT_number 123
_space_group_name_Hall '-P 4 2'
loop_
_atom_site_label
_atom_site_type_symbol
_atom_site_fract_x
_atom_site_fract_y
_atom_site_fract_z
Na1 Na 0.000 0.000 0.000
Ge1 Ge 0.000 0.500 0.500
Os1 Os 0.000 0.000 0.500
Pt1 Pt 0.500 0.500 0.000
```

---

No. 2
The following is a DFT calculation (PBE) of a relaxed structure of NaGe2OsS.

Magnetization in μB per formula unit: 0.8
Fermi-level density of states in states/eV/f.u.: 5.1
Uncorrected formation energy in eV/atom: 0.42
V in Å³ per atom: 24.56

Cell and atoms, written as CIF:
```
data_NaGe2OsS
_cell_length_a 4.677
_cell_length_b 4.677
_cell_length_c 5.612
_cell_angle_alpha 90.00
_cell_angle_beta 90.00
_cell_angle_gamma 90.00
_space_group_name_H-M_alt 'P 4/m m m'
_space_group_IT_number 123
_space_group_name_Hall '-P 4 2'
loop_
_atom_site_label
_atom_site_type_symbol
_atom_site_fract_x
_atom_site_fract_y
_atom_site_fract_z
Na1 Na 0.000 0.000 0.000
Ge1 Ge 0.000 0.500 0.500
Os1 Os 0.000 0.000 0.500
S1 S 0.500 0.500 0.000
```

---

No. 3
The following is a DFT calculation (PBE) of a relaxed structure of NaZn2GeOs.

Magnetization in μB per formula unit: 0.0
Fermi-level density of states in states/eV/f.u.: 1.2
Calculated formation energy in eV per formula unit: 0.3
V in Å³ per atom: 22.62

Cell and atoms, written as CIF:
```
data_NaZn2GeOs
_cell_length_a 4.911
_cell_length_b 4.911
_cell_length_c 4.690
_cell_angle_alpha 90.00
_cell_angle_beta 90.00
_cell_angle_gamma 90.00
_space_group_name_H-M_alt 'P 4/m m m'
_space_group_IT_number 123
_space_group_name_Hall '-P 4 2'
loop_
_atom_site_label
_atom_site_type_symbol
_atom_site_fract_x
_atom_site_fract_y
_atom_site_fract_z
Na1 Na 0.000 0.000 0.000
Zn1 Zn 0.000 0.500 0.500
Ge1 Ge 0.500 0.500 0.000
Os1 Os 0.500 0.500 0.500
```

---

No. 4
The following is a DFT calculation (PBE) of a relaxed structure of Na3Ge2P4.

Magnetization in μB per formula unit: 0.0
Fermi-level density of states in states/eV/f.u.: 1.4
Calculated formation energy in eV per formula unit: -1.7
V in Å³ per atom: 21.55

Cell and atoms, written as CIF:
```
data_Na3Ge2P4
_cell_length_a 15.058
_cell_length_b 4.379
_cell_length_c 6.425
_cell_angle_alpha 90.00
_cell_angle_beta 113.72
_cell_angle_gamma 90.00
_space_group_name_H-M_alt 'C 1 2/m 1'
_space_group_IT_number 12
loop_
_space_group_symop_operation_xyz
'x,y,z'
'-x,-y,-z'
'-x,y,-z'
'x,-y,z'
'x+1/2,y+1/2,z'
'-x+1/2,-y+1/2,-z'
'-x+1/2,y+1/2,-z'
'x+1/2,-y+1/2,z'
loop_
_atom_site_label
_atom_site_type_symbol
_atom_site_fract_x
_atom_site_fract_y
_atom_site_fract_z
Na1 Na 0.000 0.000 0.000
Na2 Na 0.137 0.000 0.733
Ge1 Ge 0.168 0.500 0.375
P1 P 0.002 0.500 0.328
P2 P 0.209 0.000 0.245
```

---

No. 5
The following is a DFT calculation (PBE) of a relaxed structure of NaGe2P2.

Magnetization in μB per formula unit: 0.0
Fermi-level density of states in states/eV/f.u.: 1.3
Calculated formation energy in eV per formula unit: 0.8
V in Å³ per atom: 19.09

Cell and atoms, written as CIF:
```
data_NaGe2P2
_cell_length_a 7.448
_cell_length_b 7.448
_cell_length_c 3.441
_cell_angle_alpha 90.00
_cell_angle_beta 90.00
_cell_angle_gamma 90.00
_space_group_name_H-M_alt 'P 4/m b m'
_space_group_IT_number 127
_space_group_name_Hall '-P 4 2ab'
loop_
_atom_site_label
_atom_site_type_symbol
_atom_site_fract_x
_atom_site_fract_y
_atom_site_fract_z
Na1 Na 0.000 0.000 0.000
Ge1 Ge 0.141 0.359 0.500
P1 P 0.141 0.641 0.000
```

---

No. 6
The following is a DFT calculation (PBE) of a relaxed structure of Na5GeP3.

Magnetization in μB per formula unit: 0.0
Calculated formation energy in eV per formula unit: -3.2
V in Å³ per atom: 21.89

Cell and atoms, written as CIF:
```
data_Na5GeP3
_cell_length_a 8.098
_cell_length_b 7.382
_cell_length_c 15.449
_cell_angle_alpha 90.00
_cell_angle_beta 121.43
_cell_angle_gamma 90.00
_space_group_name_H-M_alt 'P 1 21/c 1'
_space_group_IT_number 14
loop_
_space_group_symop_operation_xyz
'x,y,z'
'-x,-y,-z'
'-x,y+1/2,-z+1/2'
'x,-y+1/2,z+1/2'
loop_
_atom_site_label
_atom_site_type_symbol
_atom_site_fract_x
_atom_site_fract_y
_atom_site_fract_z
Na1 Na 0.064 0.006 0.242
Na2 Na 0.252 0.534 0.584
Na3 Na 0.333 0.649 0.258
Na4 Na 0.341 0.163 0.919
Na5 Na 0.415 0.019 0.587
Ge1 Ge 0.015 0.143 0.586
P1 P 0.022 0.187 0.433
P2 P 0.262 0.738 0.419
P3 P 0.313 0.236 0.727
```

---

No. 7
The following is a DFT calculation (PBE) of a relaxed structure of NaGe2P.

Magnetization in μB per formula unit: 0.0
Fermi-level density of states in states/eV/f.u.: 0.4
Calculated formation energy in eV per formula unit: 0.1
V in Å³ per atom: 21.09

Cell and atoms, written as CIF:
```
data_NaGe2P
_cell_length_a 7.474
_cell_length_b 7.474
_cell_length_c 6.040
_cell_angle_alpha 90.00
_cell_angle_beta 90.00
_cell_angle_gamma 90.00
_space_group_name_H-M_alt 'I -4 2 d'
_space_group_IT_number 122
_space_group_name_Hall 'I -4 2bw'
loop_
_atom_site_label
_atom_site_type_symbol
_atom_site_fract_x
_atom_site_fract_y
_atom_site_fract_z
Na1 Na 0.000 0.000 0.000
Ge1 Ge 0.193 0.250 0.625
P1 P 0.000 0.000 0.500
```

---

No. 8
The following is a DFT calculation (PBE) of a relaxed structure of Na2GeP2.

Magnetization in μB per formula unit: 0.0
Calculated formation energy in eV per formula unit: -1.5
V in Å³ per atom: 23.73

Cell and atoms, written as CIF:
```
data_Na2GeP2
_cell_length_a 6.748
_cell_length_b 11.116
_cell_length_c 6.328
_cell_angle_alpha 90.00
_cell_angle_beta 90.00
_cell_angle_gamma 90.00
_space_group_name_H-M_alt 'I b a m'
_space_group_IT_number 72
_space_group_name_Hall '-I 2 2c'
loop_
_atom_site_label
_atom_site_type_symbol
_atom_site_fract_x
_atom_site_fract_y
_atom_site_fract_z
Na1 Na 0.133 0.141 0.000
Ge1 Ge 0.000 0.500 0.250
P1 P 0.196 0.396 0.000
```

---

No. 9
The following is a DFT calculation (PBE) of a relaxed structure of NaGe2P2.

Magnetization in μB per formula unit: 0.0
Fermi-level density of states in states/eV/f.u.: 2.1
Calculated formation energy in eV per formula unit: 0.4
V in Å³ per atom: 23.44

Cell and atoms, written as CIF:
```
data_NaGe2P2
_cell_length_a 4.544
_cell_length_b 4.544
_cell_length_c 11.354
_cell_angle_alpha 90.00
_cell_angle_beta 90.00
_cell_angle_gamma 90.00
_space_group_name_H-M_alt 'I 4/m m m'
_space_group_IT_number 139
_space_group_name_Hall '-I 4 2'
loop_
_atom_site_label
_atom_site_type_symbol
_atom_site_fract_x
_atom_site_fract_y
_atom_site_fract_z
Na1 Na 0.000 0.000 0.000
Ge1 Ge 0.000 0.500 0.250
P1 P 0.000 0.000 0.346
```

---

No. 10
The following is a DFT calculation (PBE) of a relaxed structure of NaGe2P2.

Magnetization in μB per formula unit: 0.0
Fermi-level density of states in states/eV/f.u.: 1.3
Calculated formation energy in eV per formula unit: 0.5
V in Å³ per atom: 22.74

Cell and atoms, written as CIF:
```
data_NaGe2P2
_cell_length_a 9.111
_cell_length_b 10.283
_cell_length_c 5.690
_cell_angle_alpha 90.00
_cell_angle_beta 121.44
_cell_angle_gamma 90.00
_space_group_name_H-M_alt 'C 1 2/m 1'
_space_group_IT_number 12
loop_
_space_group_symop_operation_xyz
'x,y,z'
'-x,-y,-z'
'-x,y,-z'
'x,-y,z'
'x+1/2,y+1/2,z'
'-x+1/2,-y+1/2,-z'
'-x+1/2,y+1/2,-z'
'x+1/2,-y+1/2,z'
loop_
_atom_site_label
_atom_site_type_symbol
_atom_site_fract_x
_atom_site_fract_y
_atom_site_fract_z
Na1 Na 0.000 0.183 0.000
Ge1 Ge 0.000 0.359 0.500
Ge2 Ge 0.227 0.500 0.315
P1 P 0.000 0.133 0.500
P2 P 0.204 0.500 0.851
```